# 1
The following is a PBE-GGA calculation of a relaxed structure of Y2CdPt9, from Alexandria.

Results
energy = -76.2 eV/f.u.
space-group type = R-3m, No. 166
energy above the lowest structure with this stoichiometry = 5.95 kJ per mole of atoms
E_form = -0.662 eV per atom

Unit cell a=5.404 b=5.404 c=9.372 alpha=73.24 beta=73.24 gamma=60.00
Fractional positions:
Y (0.863, 0.863, 0.410)
Y (0.137, 0.137, 0.590)
Cd (0.000, 0.000, 0.000)
Pt (0.667, 0.667, 0.998)
Pt (0.333, 0.333, 0.002)
Pt (0.500, 0.500, 0.500)
Pt (0.412, 0.412, 0.256)
Pt (0.919, 0.412, 0.256)
Pt (0.412, 0.919, 0.256)
Pt (0.588, 0.588, 0.744)
Pt (0.588, 0.081, 0.744)
Pt (0.081, 0.588, 0.744)

=====

# 2
The following is a PBE-GGA calculation of a relaxed structure of YCdPt2, from Alexandria.

Results
energy = -22.7 eV/f.u.
space-group type = Pm, No. 6
E_form = -0.818 eV per atom

Unit cell a=4.255 b=3.787 c=5.505 alpha=70.09 beta=90.00 gamma=90.00
Fractional positions:
Y (0.000, 0.480, 0.417)
Pt (0.000, 0.206, 0.962)
Pt (0.500, 0.043, 0.290)
Cd (0.500, 0.771, 0.832)

=====

Total magnetic moment
In order: 0.0000, 0.0000
Unit: μB per atom